1.
A relaxed NaPu2NiS4 crystal. Source: the Alexandria database, functional PBE-GGA.

Magnetic moment ... 18.0 μB/cell
Raw formation energy ... -1.37 eV/atom
Space group ... Cmcm, No. 63

```
NaPu2NiS4
1.0
1.9480 -6.5824 0.0000
1.9480 6.5824 0.0000
0.0000 0.0000 13.4853
Na Pu Ni S
2 4 2 8
direct
0.1073 0.8927 0.7500
0.8927 0.1073 0.2500
0.3655 0.6345 0.5623
0.3655 0.6345 0.9377
0.6345 0.3655 0.0623
0.6345 0.3655 0.4377
0.1640 0.8360 0.2500
0.8360 0.1640 0.7500
0.0000 0.0000 0.0000
0.0000 0.0000 0.5000
0.2665 0.7335 0.1161
0.2665 0.7335 0.3839
0.4313 0.5687 0.7500
0.5687 0.4313 0.2500
0.7335 0.2665 0.6161
0.7335 0.2665 0.8839
```

2.
A relaxed Na4Pu3NiS8 crystal. Source: the Alexandria database, functional PBE-GGA.

Magnetic moment ... 2.9 μB/cell
Raw formation energy ... -1.24 eV/atom
Space group ... C2/m, No. 12

```
Na4Pu3NiS8
1.0
6.8016 -3.9141 0.0000
6.8016 3.9141 0.0000
-4.4897 0.0000 6.6425
Na Pu Ni S
4 3 1 8
direct
0.0000 0.0000 0.0000
0.0000 0.5000 0.0000
0.5000 0.0000 0.0000
0.5000 0.5000 0.0000
0.0000 0.0000 0.5000
0.0000 0.5000 0.5000
0.5000 0.0000 0.5000
0.5000 0.5000 0.5000
0.2443 0.2443 0.7316
0.2574 0.7280 0.7150
0.2610 0.2610 0.2777
0.2720 0.7426 0.2850
0.7280 0.2574 0.7150
0.7390 0.7390 0.7223
0.7426 0.2720 0.2850
0.7557 0.7557 0.2684
```

3.
A relaxed NaPuNiSe3 crystal. Source: the Alexandria database, functional PBE-GGA.

Magnetic moment ... 7.5 μB/cell
Raw formation energy ... -1.00 eV/atom
Space group ... P2_1/m, No. 11

```
NaPuNiSe3
1.0
8.3986 0.0000 0.0000
0.0000 4.0359 0.0000
-2.1072 0.0000 8.8591
Na Pu Ni Se
2 2 2 6
direct
0.1860 0.2500 0.2215
0.8140 0.7500 0.7785
0.3223 0.7500 0.8386
0.6777 0.2500 0.1614
0.0822 0.2500 0.5817
0.9178 0.7500 0.4183
0.0949 0.2500 0.8525
0.2052 0.7500 0.5211
0.4363 0.7500 0.1634
0.5637 0.2500 0.8366
0.7948 0.2500 0.4789
0.9051 0.7500 0.1475
```

4.
A relaxed RbNaNi2 crystal. Source: the Alexandria database, functional PBE-GGA.

Magnetic moment ... 1.8 μB/cell
Energy relative to the elements ... 32.6 kJ/mol of atoms
Space group ... P-1, No. 2
Excess energy over the best structure of this formula in the dataset ... 0.000 eV/atom

```
RbNaNi2
1.0
4.0599 0.0000 0.0000
2.0160 6.0272 0.0000
0.2759 2.4984 9.4989
Rb Na Ni
2 2 4
direct
0.1843 0.1632 0.1821
0.8157 0.8368 0.8179
0.4704 0.5824 0.3228
0.5296 0.4176 0.6772
0.0999 0.3009 0.5022
0.3006 0.8958 0.5200
0.6994 0.1042 0.4800
0.9001 0.6991 0.4978
```

5.
A relaxed RbNaNi2 crystal. Source: the Alexandria database, functional PBE-GGA.

Magnetic moment ... 1.7 μB/cell
Energy relative to the elements ... 42.1 kJ/mol of atoms
Space group ... C2, No. 5
Excess energy over the best structure of this formula in the dataset ... 0.099 eV/atom

```
RbNaNi2
1.0
5.9498 -2.3022 0.0000
5.9498 2.3022 0.0000
-3.3814 0.0000 9.0345
Rb Na Ni
2 2 4
direct
0.1868 0.1868 0.1683
0.8132 0.8132 0.8317
0.5790 0.3981 0.6515
0.6019 0.4210 0.3485
0.0718 0.4364 0.5226
0.1910 0.0113 0.5494
0.5636 0.9282 0.4774
0.9887 0.8090 0.4506
```

6.
A relaxed RbNaNi2 crystal. Source: the Alexandria database, functional PBE-GGA.

Magnetic moment ... 1.7 μB/cell
Energy relative to the elements ... 44.0 kJ/mol of atoms
Space group ... Cm, No. 8
Excess energy over the best structure of this formula in the dataset ... 0.119 eV/atom

```
RbNaNi2
1.0
5.6029 -2.5285 0.0000
5.6029 2.5285 0.0000
-0.5623 0.0000 7.2405
Rb Na Ni
2 2 4
direct
0.0000 0.0000 0.0000
0.6865 0.6865 0.7407
0.1672 0.1672 0.4383
0.3195 0.3195 0.1265
0.1698 0.6773 0.4503
0.5649 0.5649 0.3113
0.6773 0.1698 0.4503
0.7679 0.7679 0.3008
```

7.
A relaxed RbNaNi2 crystal. Source: the Alexandria database, functional PBE-GGA.

Magnetic moment ... 1.9 μB/cell
Energy relative to the elements ... 45.3 kJ/mol of atoms
Space group ... Cm, No. 8
Excess energy over the best structure of this formula in the dataset ... 0.132 eV/atom

```
RbNaNi2
1.0
5.7238 -2.8809 0.0000
5.7238 2.8809 0.0000
-3.2675 0.0000 5.7564
Rb Na Ni
2 2 4
direct
0.0000 0.0000 0.0000
0.6485 0.6485 0.9207
0.3391 0.3391 0.0566
0.6868 0.6868 0.4670
0.1306 0.1306 0.5687
0.1359 0.7261 0.4559
0.3160 0.3160 0.5202
0.7261 0.1359 0.4559
```

8.
A relaxed RbNaNi2 crystal. Source: the Alexandria database, functional PBE-GGA.

Magnetic moment ... 2.0 μB/cell
Energy relative to the elements ... 45.1 kJ/mol of atoms
Space group ... Cm, No. 8
Excess energy over the best structure of this formula in the dataset ... 0.130 eV/atom

```
RbNaNi2
1.0
5.5644 -2.8527 0.0000
5.5644 2.8527 0.0000
-0.2909 0.0000 6.0050
Rb Na Ni
2 2 4
direct
0.0000 0.0000 0.0000
0.6613 0.6613 0.9840
0.3195 0.3195 0.7882
0.8573 0.8573 0.4652
0.2844 0.2844 0.3181
0.3311 0.9187 0.4741
0.4852 0.4852 0.4212
0.9187 0.3311 0.4741
```

9.
A relaxed RbNaNi2 crystal. Source: the Alexandria database, functional PBE-GGA.

Magnetic moment ... 0.7 μB/cell
Energy relative to the elements ... 42.6 kJ/mol of atoms
Space group ... Cm, No. 8
Excess energy over the best structure of this formula in the dataset ... 0.104 eV/atom

```
RbNaNi2
1.0
3.4446 -1.9904 0.0000
3.4446 1.9904 0.0000
-2.3194 0.0000 8.3580
Rb Na Ni
1 1 2
direct
0.0000 0.0000 0.0000
0.8239 0.8239 0.4782
0.2329 0.2329 0.7004
0.5655 0.5655 0.7004
```

10.
A relaxed RbNaNi2 crystal. Source: the Alexandria database, functional PBE-GGA.

Magnetic moment ... 1.7 μB/cell
Energy relative to the elements ... 33.5 kJ/mol of atoms
Space group ... P1, No. 1
Excess energy over the best structure of this formula in the dataset ... 0.009 eV/atom

```
RbNaNi2
1.0
4.0900 0.0000 0.0000
-2.0388 6.0104 0.0000
-0.0614 -3.0429 9.6925
Rb Na Ni
2 2 4
direct
0.0000 0.0000 0.0000
0.1705 0.3319 0.6337
0.3027 0.6010 0.1471
0.4026 0.7918 0.4920
0.1508 0.2927 0.3201
0.5533 0.0969 0.3129
0.7546 0.5004 0.3261
0.9499 0.8898 0.3148
```

11.
A relaxed RbNaNi3 crystal. Source: the Alexandria database, functional PBE-GGA.

Magnetic moment ... 1.3 μB/cell
Energy relative to the elements ... 142.5 kJ/mol of atoms
Space group ... Pm-3m, No. 221
Excess energy over the best structure of this formula in the dataset ... 0.000 eV/atom

```
RbNaNi3
1.0
4.8939 0.0000 0.0000
0.0000 4.8939 0.0000
0.0000 0.0000 4.8939
Rb Na Ni
1 1 3
direct
0.0000 0.0000 0.0000
0.5000 0.5000 0.5000
0.0000 0.5000 0.5000
0.5000 0.0000 0.5000
0.5000 0.5000 0.0000
```

12.
A relaxed RbNaNi2 crystal. Source: the Alexandria database, functional PBE-GGA.

Magnetic moment ... 0.8 μB/cell
Energy relative to the elements ... 57.2 kJ/mol of atoms
Space group ... Cm, No. 8
Excess energy over the best structure of this formula in the dataset ... 0.255 eV/atom

```
RbNaNi2
1.0
5.8428 -2.3828 0.0000
5.8428 2.3828 0.0000
-0.0025 0.0000 4.0892
Rb Na Ni
1 1 2
direct
0.0000 0.0000 0.0000
0.7261 0.7261 0.4982
0.2880 0.2880 0.9993
0.3599 0.3599 0.4994
```